The following is a PBE calculation of crystalline LaTmCd5 at its relaxed geometry, from Alexandria.

Lattice parameters (Å, degrees): 6.107 9.396 6.957 90.00 108.22 90.00
Positions (direct):
La: 0.000 0.000 0.000
La: 0.500 0.500 0.000
Tm: 0.000 0.500 0.500
Tm: 0.500 0.000 0.500
Cd: 0.000 0.000 0.500
Cd: 0.199 0.287 0.239
Cd: 0.199 0.713 0.239
Cd: 0.301 0.213 0.761
Cd: 0.301 0.787 0.761
Cd: 0.500 0.500 0.500
Cd: 0.699 0.213 0.239
Cd: 0.699 0.787 0.239
Cd: 0.801 0.287 0.761
Cd: 0.801 0.713 0.761

## Properties
- calculated density (g cm⁻³) = 7.6
- E (eV for the cell shown) = -29.55
- DOS at the Fermi energy (states/eV per atom) = 0.47
- symmetry = C2/m